CeEr4In7 | PBE | relaxed

SG	C2/m (12)
E_form	-15.2	kJ/mol of atoms
crystal system	monoclinic

The structure in POSCAR format:
```
CeEr4In7
1.0
5.738 0.000 0.000
2.869 9.545 -0.304
2.869 0.028 6.336
In Er Ce
7 4 1
Cartesian
8.607 3.112 5.138 In
2.869 6.461 0.895 In
5.738 5.154 4.449 In
2.869 1.009 2.864 In
8.607 8.564 3.168 In
5.738 4.419 1.584 In
2.869 0.000 0.000 In
2.869 3.172 0.644 Er
8.607 6.401 5.388 Er
5.738 2.092 3.735 Er
5.738 7.481 2.298 Er
0.000 0.000 0.000 Ce
```

---

Cs2KAgAu | PBE | relaxed

SG	P4/mmm (123)
E_form	-1.6	kJ/mol of atoms
crystal system	tetragonal

The structure in POSCAR format:
```
Cs2KAgAu
1.0
-1.186 6.669 -2.002
-3.856 1.062 5.821
4.464 1.594 2.666
K Au Ag Cs
1 1 1 2
Cartesian
-0.289 4.662 3.243 K
0.000 0.000 0.000 Au
2.232 0.797 1.333 Ag
-0.593 3.334 -1.001 Cs
-1.928 0.531 2.911 Cs
```

---

La2Tb5SmTh | PBE | relaxed

SG	Cmc2_1 (36)
E_form	15.4	kJ/mol of atoms
crystal system	orthorhombic

The structure in POSCAR format:
```
La2Tb5SmTh
1.0
5.679 0.000 0.000
-2.839 9.984 0.000
0.000 0.000 10.950
Tb La Th Sm
10 4 2 2
Cartesian
2.839 4.010 2.265 Tb
0.000 0.310 0.302 Tb
2.839 4.346 8.866 Tb
0.000 7.859 0.244 Tb
2.839 9.674 5.777 Tb
2.839 2.126 5.719 Tb
0.000 9.575 8.082 Tb
2.839 0.409 2.607 Tb
0.000 5.638 3.391 Tb
0.000 5.974 7.740 Tb
0.000 2.342 3.501 La
0.000 2.288 8.028 La
2.839 7.642 8.976 La
2.839 7.696 2.553 La
0.000 8.342 5.029 Th
2.839 1.642 10.504 Th
2.839 5.937 5.556 Sm
0.000 4.047 0.081 Sm
```

---

LaPtIO2 | PBE | relaxed

SG	P4/mmm (123)
formation energy without anion corrections	-0.5959	eV per atom
crystal system	tetragonal

The structure in POSCAR format:
```
LaPtIO2
1.0
4.410 0.000 0.000
0.000 4.410 0.000
0.000 0.000 5.075
La I O Pt
1 1 2 1
Cartesian
2.205 2.205 2.538 La
0.000 0.000 2.538 I
0.000 2.205 0.000 O
2.205 0.000 0.000 O
0.000 0.000 0.000 Pt
```

---

Tm3FeTe | PBE | relaxed

SG	C2/m (12)
formation energy without anion corrections	-0.4695	eV per atom
crystal system	monoclinic

The structure in POSCAR format:
```
Tm3FeTe
1.0
-3.142 1.124 -2.222
2.840 -4.748 -2.801
-6.655 -5.053 6.852
Tm Te Fe
6 2 2
Cartesian
-2.788 -3.400 -1.395 Tm
-7.163 -4.235 4.367 Tm
0.206 -4.442 -2.538 Tm
-4.553 -5.920 -0.174 Tm
-2.404 -2.757 2.003 Tm
-4.169 -5.277 3.223 Tm
-6.692 -6.941 2.332 Te
-0.265 -1.736 -0.504 Te
-1.583 -5.739 -0.665 Fe
-5.374 -2.938 2.494 Fe
```

---

KBi2BAu | PBE | relaxed

SG	P4/mmm (123)
E_form	186.2	kJ/mol of atoms
crystal system	tetragonal

The structure in POSCAR format:
```
KBi2BAu
1.0
-1.734 5.724 0.251
-3.382 -1.163 3.160
3.852 0.970 4.478
K B Au Bi
1 1 1 2
Cartesian
0.000 0.000 0.000 K
-1.691 -0.581 1.580 B
-0.632 2.766 3.945 Au
1.926 0.485 2.239 Bi
-0.867 2.862 0.126 Bi
```

---

Rb2Tm2BiTe6 | PBE | relaxed

SG	C2/m (12)
formation energy without anion corrections	-0.9912	eV per atom
crystal system	monoclinic

The structure in POSCAR format:
```
Rb2Tm2BiTe6
1.0
7.602 -0.044 0.082
-3.796 6.587 0.082
-1.335 -2.295 8.893
Te Bi Tm Rb
6 1 2 2
Cartesian
0.545 5.431 2.806 Te
1.794 3.083 6.326 Te
1.926 -1.184 6.251 Te
4.452 3.158 2.806 Te
0.678 1.165 2.731 Te
-1.981 1.089 6.251 Te
-0.668 -1.148 4.446 Bi
3.147 1.012 4.528 Tm
-0.676 3.236 4.528 Tm
5.746 1.036 0.082 Rb
-1.940 5.507 0.082 Rb
```

---

Ti6FeRh3 | PBE | relaxed

SG	C2/m (12)
E_form	-36.4	kJ/mol of atoms
crystal system	monoclinic

The structure in POSCAR format:
```
Ti6FeRh3
1.0
-2.857 6.211 1.190
-5.059 -0.860 0.117
-2.202 -0.409 4.618
Rh Ti Fe
3 6 1
Cartesian
0.000 0.000 0.000 Rh
-1.752 1.846 0.927 Rh
-8.365 3.096 4.998 Rh
-5.935 3.587 4.993 Ti
-4.970 -0.303 3.185 Ti
-2.757 1.581 3.177 Ti
-4.182 1.355 0.932 Ti
-7.360 3.362 2.748 Ti
-5.147 5.246 2.740 Ti
-5.059 2.471 2.963 Fe
```

---

Which formula does entry 6 have?
KBi2BAu